## CsLaPb2I8 (PBE)

Data for an optimized crystal structure of CsLaPb2I8.

Cell: 7.5760 7.9558 10.0927 Å, 89.85 89.76 88.86°
Fractional positions:
Cs 0.0000 0.0000 0.0000
La 0.0000 0.0000 0.5000
Pb 0.4998 0.5002 0.2474
Pb 0.5002 0.4998 0.7526
I 0.2437 0.3323 0.5002
I 0.2600 0.8412 0.7130
I 0.2614 0.8428 0.2861
I 0.2659 0.3909 0.0013
I 0.7341 0.6091 0.9987
I 0.7386 0.1572 0.7139
I 0.7400 0.1588 0.2870
I 0.7563 0.6677 0.4998

Values from the calculation:
The value obtained for the formation energy from raw total energies is -1039 meV/atom.


## ErAl3Ag2 (PBE)

Data for an optimized crystal structure of ErAl3Ag2.

Cell: 8.3511 8.3511 6.8252 Å, 107.97 107.97 30.60°
Fractional positions:
Er 0.1130 0.1130 0.1798
Er 0.8870 0.8870 0.8202
Al 0.0713 0.0713 0.6754
Al 0.3017 0.3017 0.0748
Al 0.3689 0.3689 0.4949
Al 0.6311 0.6311 0.5051
Al 0.6983 0.6983 0.9252
Al 0.9287 0.9287 0.3246
Ag 0.2375 0.2375 0.6611
Ag 0.4761 0.4761 0.1803
Ag 0.5239 0.5239 0.8197
Ag 0.7625 0.7625 0.3389

Values from the calculation:
The energy relative to the elements comes out at -233 meV per atom.


Asked for theoretical density across the records above, the calculation gives 4.65 6.71 Mg/m³ in order.
Asked for V across the records above, the calculation gives 608 230 Å³ per cell in order.